First-principles (PBE-GGA) data for a relaxed structure of Dy2Er3Tm6, as listed in Alexandria.

Formation energy from the elements: 291.4 meV/atom
Electronic total energy: -4.2287 eV per atom
Distance to the lowest polymorph of the same formula: 175 kJ/mol of formula units

Structure (CIF):
```
data_Dy2Er3Tm6
_cell_length_a 4.6542
_cell_length_b 4.6542
_cell_length_c 16.6782
_cell_angle_alpha 98.02
_cell_angle_beta 98.02
_cell_angle_gamma 90.00
_symmetry_space_group_name_H-M 'P 1'
_symmetry_Int_Tables_number 1
loop_
_symmetry_equiv_pos_as_xyz
'x,y,z'
loop_
_atom_site_label
_atom_site_type_symbol
_atom_site_fract_x
_atom_site_fract_y
_atom_site_fract_z
Tm1 Tm 0.1219 0.6219 0.2438
Tm2 Tm 0.3045 0.3045 0.6090
Tm3 Tm 0.6955 0.6955 0.3910
Tm4 Tm 0.6219 0.1219 0.2438
Tm5 Tm 0.3781 0.8781 0.7562
Tm6 Tm 0.8781 0.3781 0.7562
Dy1 Dy 0.5463 0.5463 0.0926
Dy2 Dy 0.4537 0.4537 0.9074
Er1 Er 0.0000 0.0000 0.0000
Er2 Er 0.2009 0.2009 0.4017
Er3 Er 0.7991 0.7991 0.5983
```